Density functional theory data (PBE) for a relaxed structure of CaSI2.

Lattice parameters (Å, degrees): 5.3549 5.3549 19.9129 90.00 90.00 90.00
With the nearest neighbours (Å) after each atom.
Sites, in units of the cell vectors:
Ca (0.0000, 0.0000, 0.0000)  4 I 3.15
Ca (0.0000, 0.5000, 0.2500)  4 I 3.15
Ca (0.5000, 0.0000, 0.7500)  4 I 3.15
Ca (0.5000, 0.5000, 0.5000)  4 I 3.15
S (0.0000, 0.0000, 0.5000)  4 I 3.11
S (0.0000, 0.5000, 0.7500)  4 I 3.11
S (0.5000, 0.0000, 0.2500)  4 I 3.11
S (0.5000, 0.5000, 0.0000)  4 I 3.11
I (0.2412, 0.2500, 0.6250)  2 S 3.11, 2 Ca 3.15
I (0.2500, 0.7412, 0.8750)  2 S 3.11, 2 Ca 3.15
I (0.2500, 0.7588, 0.3750)  2 S 3.11, 2 Ca 3.15
I (0.2588, 0.2500, 0.1250)  2 S 3.11, 2 Ca 3.15
I (0.7412, 0.7500, 0.1250)  2 S 3.11, 2 Ca 3.15
I (0.7500, 0.2412, 0.3750)  2 S 3.11, 2 Ca 3.15
I (0.7500, 0.2588, 0.8750)  2 S 3.11, 2 Ca 3.15
I (0.7588, 0.7500, 0.6250)  2 S 3.11, 2 Ca 3.15

## Properties
For the uncorrected energy, the calculation gives -2.731 eV per atom. For the density of states at the Fermi level, the calculation gives 0.30 states/eV/atom. For the raw formation energy, the calculation gives -0.42 eV per atom.